LiMo3Se3: relaxed, PBE-GGA.

Cell: 8.986 8.986 4.527 Å, 90.00 90.00 120.00°
Fractional positions:
Li1 0.667 0.333 0.250
Se1 0.633 0.700 0.750
Se2 0.067 0.367 0.750
Mo1 0.966 0.814 0.750
Mo2 0.152 0.966 0.250
Mo3 0.814 0.848 0.250
Se3 0.933 0.633 0.250
Mo4 0.848 0.034 0.750
Se4 0.300 0.933 0.750
Li2 0.333 0.667 0.750
Se5 0.700 0.067 0.250
Se6 0.367 0.300 0.250
Mo5 0.186 0.152 0.750
Mo6 0.034 0.186 0.250

Volume in Å³/atom: 22.62
Total magnetization in Bohr magnetons per cell: 0.0
Formation energy from raw total energies in eV per atom: -0.5937
Fermi-level density of states in states/eV/cell: 2.304
Mass density in Mg/m³: 5.6